Entry from Alexandria: crystalline ErBeGa2Au5 at its relaxed geometry (PBE-GGA).

Cell and atoms, written as POSCAR:
```
ErBeGa2Au5
1.0
-2.230 3.016 6.566
2.230 -3.016 6.566
2.230 3.016 -6.566
Er Be Ga Au
1 1 2 5
direct
0.000 0.000 0.000
0.500 0.500 0.000
0.301 0.801 0.500
0.699 0.199 0.500
0.102 0.366 0.736
0.370 0.634 0.736
0.500 0.000 0.500
0.630 0.366 0.264
0.898 0.634 0.264
```

Summary:
As for the final energy: -3.69 eV per atom. Its formation enthalpy at 0 K is -0.27 eV/atom. As for the symmetry: Immm, No. 71. The density comes out at 12.22 g/cm3.